(1)
The following is a DFT calculation (GGA-PBE) of an optimized crystal structure of NiPd2Pt.

Cell: 6.9261 6.9261 5.5509 Å, 51.40 51.40 90.00°
Last column: nearest neighbours and their distance in Å.
Sites, in units of the cell vectors:
Ni 0.2500 0.7500 0.5000  4 Pd 2.43, 2 Pt 2.61
Ni 0.5000 0.5000 0.0000  4 Pd 2.43, 2 Pt 2.61
Pd 0.1476 0.6250 0.2500  2 Ni 2.43, 2 Pd 2.63, 2 Pt 2.64
Pd 0.6024 0.1250 0.2500  2 Ni 2.43, 2 Pd 2.63, 2 Pt 2.64
Pd 0.8750 0.8524 0.7500  2 Ni 2.43, 2 Pd 2.63, 2 Pt 2.64
Pd 0.3750 0.3976 0.7500  2 Ni 2.43, 2 Pd 2.63, 2 Pt 2.64
Pt 0.7500 0.2500 0.5000  2 Ni 2.61, 4 Pd 2.64
Pt 0.0000 0.0000 0.0000  2 Ni 2.61, 4 Pd 2.64

calculated formation energy = 0.36 eV/atom
SG = No. 122

(2)
The following is a DFT calculation (GGA-PBE) of an optimized crystal structure of Li3Ag3Sn2Hg.

Cell: 3.0358 8.1434 8.1434 Å, 120.00 90.00 90.00°
Last column: nearest neighbours and their distance in Å.
Sites, in units of the cell vectors:
Ag 0.0000 0.6400 0.6400  1 Hg 2.93, 4 Sn 3.02, 2 Ag 3.04, 6 Li 3.10-3.20
Ag 0.0000 0.3600 0.0000  1 Hg 2.93, 4 Sn 3.02, 2 Ag 3.04, 6 Li 3.10-3.20
Ag 0.0000 0.0000 0.3600  1 Hg 2.93, 4 Sn 3.02, 2 Ag 3.04, 6 Li 3.10-3.20
Li 0.5000 0.7056 0.0000  2 Hg 2.84, 2 Sn 2.89, 2 Li 3.04, 4 Ag 3.10
Li 0.5000 0.0000 0.7056  2 Hg 2.84, 2 Sn 2.89, 2 Li 3.04, 4 Ag 3.10
Li 0.5000 0.2944 0.2944  2 Hg 2.84, 2 Sn 2.89, 2 Li 3.04, 4 Ag 3.10
Hg 0.0000 0.0000 0.0000  6 Li 2.84, 3 Ag 2.93, 2 Hg 3.04
Sn 0.5000 0.6667 0.3333  3 Li 2.89, 6 Ag 3.02, 2 Sn 3.04
Sn 0.5000 0.3333 0.6667  3 Li 2.89, 6 Ag 3.02, 2 Sn 3.04

calculated formation energy = -0.20 eV/atom
SG = No. 189

(3)
The following is a DFT calculation (GGA-PBE) of an optimized crystal structure of Ga3NiC.

Cell: 4.1924 4.1924 4.1924 Å, 90.00 90.00 90.00°
Last column: nearest neighbours and their distance in Å.
Sites, in units of the cell vectors:
Ga 0.0000 0.5000 0.0000  2 C 2.10
Ga 0.0000 0.0000 0.5000  2 C 2.10
Ga 0.5000 0.0000 0.0000  2 C 2.10
C 0.0000 0.0000 0.0000  6 Ga 2.10
Ni 0.5000 0.5000 0.5000  12 Ga 2.96

calculated formation energy = 0.79 eV/atom
SG = No. 221
E above lowest polymorph = 0.0000 eV/atom